No. 1
Computed, not measured: a geometry-optimized Sc2InHg3 structure at the PBE-GGA level of DFT.

Summary:
- spin magnetization (μB per atom) = 0.082
- energy of formation from the pure elements (meV per atom) = -270
- distance to the lowest polymorph of the same formula (meV/atom) = 39
- crystal system = orthorhombic
- E_tot (eV per atom) = -2.988

Unit cell a=6.5237 b=9.7613 c=16.8136 alpha=90.00 beta=90.00 gamma=90.00
Closest atoms and distances in Å follow each position.
Space group Fmmm (No. 69)
Symmetry-distinct sites (fractional):
Sc 0.2463 0.0000 0.0000 x8  2 Sc 3.21-3.31, 10 Hg 3.22-3.26, 2 In 3.27
Sc 0.2500 0.2500 0.2500 x8  8 Hg 3.24-3.26, 4 In 3.25, 2 Sc 3.26
In 0.0000 0.0000 0.3323 x8  3 Hg 2.80
Hg 0.0000 0.0000 0.1657 x8  1 In 2.80, 2 Hg 2.82
Hg 0.0000 0.2479 0.4165 x16  1 In 2.80, 2 Hg 2.81-2.82

---

No. 2
Computed, not measured: a geometry-optimized Tm2SeBr structure at the PBE-GGA level of DFT.

Summary:
- spin magnetization (μB per atom) = 0.007
- distance to the lowest polymorph of the same formula (meV/atom) = 75
- crystal system = orthorhombic
- E_tot (eV per atom) = -4.666
- formation energy (no corrections) (eV per formula unit) = -4.6

Unit cell a=3.9125 b=8.8091 c=6.6984 alpha=90.00 beta=90.00 gamma=90.00
Closest atoms and distances in Å follow each position.
Space group Pmn2_1 (No. 31)
Symmetry-distinct sites (fractional):
Tm 0.0000 0.0746 0.0000 x2  3 Br 2.78-2.95, 1 Se 2.95
Tm 0.0000 0.6769 0.1752 x2  3 Se 2.73-2.87, 1 Br 2.82
Se 0.0000 0.4061 0.9372 x2  4 Tm 2.73-2.95
Br 0.0000 0.8028 0.7883 x2  4 Tm 2.78-2.95